K2Rb6NaHg, optimized geometry, DFT PBE; density of states at the Fermi level = 0.784 states/eV per atom; size of the total moment = 0.00 μB per formula unit; ΔH_f (0 K) = -15 meV per atom; space-group type = P2_1/c (14)
1.0
8.628 0.000 0.000
0.000 12.111 0.000
-8.606 0.000 13.725
K Rb Na Hg
4 12 2 2
Cartesian
-2.045 1.051 3.282
-6.348 5.005 10.144
6.370 7.106 3.581
2.067 11.060 10.444
-7.780 8.235 13.578
-3.477 9.932 6.715
-5.372 2.007 13.597
-1.069 4.048 6.735
-2.467 7.104 10.114
1.836 11.062 3.251
-1.814 1.049 10.474
2.489 5.007 3.611
1.091 8.063 6.991
5.394 10.104 0.128
3.499 2.179 7.011
7.802 3.876 0.148
0.011 0.000 6.863
4.314 6.055 0.000
0.000 0.000 0.000
-4.303 6.055 6.863


K2RbNaHg, optimized geometry, DFT PBE; density of states at the Fermi level = 0.747 states/eV per atom; size of the total moment = 0.00 μB per formula unit; relative energy among the computed polymorphs = 0.000 eV per atom; ΔH_f (0 K) = -64 meV per atom; space-group type = P4/mmm (123)
1.0
6.811 0.000 0.000
0.000 6.811 0.000
0.000 0.000 6.243
K Rb Na Hg
2 1 1 1
Cartesian
0.000 3.406 0.000
3.406 0.000 0.000
0.000 0.000 3.121
3.406 3.406 3.121
3.406 3.406 0.000


K2Rb4NaHg, optimized geometry, DFT PBE; density of states at the Fermi level = 0.744 states/eV per atom; size of the total moment = 0.00 μB per formula unit; ΔH_f (0 K) = -6 meV per atom; space-group type = P2/m (10)
1.0
8.274 0.000 0.000
0.000 4.966 0.000
-2.976 0.000 13.289
K Rb Na Hg
2 4 1 1
Cartesian
0.000 0.000 0.000
4.137 2.483 0.000
-0.277 0.000 9.260
1.213 2.483 3.819
4.085 2.483 9.469
5.574 0.000 4.028
2.649 0.000 6.644
-1.488 2.483 6.644


KNaHgS, optimized geometry, DFT PBE; density of states at the Fermi level = 0.000 states/eV per atom; size of the total moment = 0.00 μB per formula unit; space-group type = F-43m (216); ΔE_f (raw) = -0.64 eV/atom
1.0
0.000 3.775 3.775
3.775 0.000 3.775
3.775 3.775 0.000
K Na Hg S
1 1 1 1
Cartesian
0.000 0.000 0.000
3.775 3.775 3.775
1.888 1.888 1.888
5.663 5.663 5.663